Entry 1:
Computed, not measured: a relaxed ScPaCo4 crystal at the PBE level of DFT.

Structure (POSCAR):
```
ScPaCo4
1.0
0.000 3.473 3.473
3.473 0.000 3.473
3.473 3.473 0.000
Sc Pa Co
1 1 4
direct
0.000 0.000 0.000
0.750 0.750 0.750
0.374 0.374 0.374
0.374 0.374 0.878
0.374 0.878 0.374
0.878 0.374 0.374
```

Results
The space-group type is No. 216. As for the size of the total moment: 0.000 μB per formula unit. For the density of states at the Fermi level, the calculation gives 7.94 states/eV/cell. As for the formation enthalpy at 0 K: -0.324 eV/atom.



Entry 2:
Computed, not measured: a relaxed Cs3Pr3PuO8 crystal at the PBE level of DFT.

Structure (POSCAR):
```
Cs3Pr3PuO8
1.0
3.672 2.120 7.035
-3.672 2.120 7.035
0.000 -4.240 7.035
Cs Pr Pu O
3 3 1 8
direct
0.000 0.500 0.500
0.500 0.000 0.500
0.500 0.500 0.000
0.000 0.000 0.500
0.000 0.500 0.000
0.500 0.000 0.000
0.500 0.500 0.500
0.222 0.222 0.222
0.242 0.708 0.708
0.292 0.292 0.758
0.292 0.758 0.292
0.708 0.242 0.708
0.708 0.708 0.242
0.758 0.292 0.292
0.778 0.778 0.778
```

Results
The space-group type is No. 166. As for the size of the total moment: 4.000 μB per formula unit. The value obtained for the uncorrected formation energy is -2613.3 meV/atom. For the density of states at the Fermi level, the calculation gives 5.81 states/eV/cell.



Entry 3:
Computed, not measured: a relaxed RbSrIBr2 crystal at the PBE level of DFT.

Structure (POSCAR):
```
RbSrIBr2
1.0
5.953 0.000 0.000
0.000 5.953 0.000
0.000 0.000 6.477
Rb Sr I Br
1 1 1 2
direct
0.000 0.000 0.000
0.500 0.500 0.500
0.500 0.500 0.000
0.000 0.500 0.500
0.500 0.000 0.500
```

Results
The space-group type is No. 123. As for the size of the total moment: 0.000 μB per formula unit. The value obtained for the uncorrected formation energy is -1813.6 meV/atom. For the density of states at the Fermi level, the calculation gives 0.00 states/eV/cell.



Entry 4:
Computed, not measured: a relaxed KNiAs2 crystal at the PBE level of DFT.

Structure (POSCAR):
```
KNiAs2
1.0
1.924 1.111 6.951
-1.924 1.111 6.951
0.000 -2.222 6.951
K Ni As
1 1 2
direct
0.000 0.000 0.000
0.172 0.172 0.172
0.550 0.550 0.550
0.791 0.791 0.791
```

Results
The space-group type is No. 160. As for the size of the total moment: 0.000 μB per formula unit. For the density of states at the Fermi level, the calculation gives 0.98 states/eV/cell. The calculation puts the energy above the most stable polymorph in this dataset at 3 kJ/mol of formula units. As for the formation enthalpy at 0 K: -0.306 eV/atom.



Entry 5:
Computed, not measured: a relaxed PaTaNiN3 crystal at the PBE level of DFT.

Structure (POSCAR):
```
PaTaNiN3
1.0
6.595 0.000 0.000
0.000 3.218 0.000
-1.674 0.000 6.772
Pa Ta Ni N
2 2 2 6
direct
0.193 0.250 0.228
0.807 0.750 0.772
0.331 0.750 0.831
0.669 0.250 0.169
0.115 0.250 0.594
0.885 0.750 0.406
0.111 0.250 0.874
0.254 0.750 0.509
0.433 0.750 0.150
0.567 0.250 0.850
0.746 0.250 0.491
0.889 0.750 0.126
```

Results
The space-group type is No. 11. As for the size of the total moment: 0.000 μB per formula unit. The value obtained for the uncorrected formation energy is -971.7 meV/atom. For the density of states at the Fermi level, the calculation gives 3.68 states/eV/cell.



Entry 6:
Computed, not measured: a relaxed YGa2Fe2 crystal at the PBE level of DFT.

Structure (POSCAR):
```
YGa2Fe2
1.0
7.598 0.000 0.000
0.000 7.598 0.000
0.000 0.000 2.762
Y Ga Fe
2 4 4
direct
0.000 0.000 0.000
0.500 0.500 0.000
0.175 0.325 0.500
0.325 0.825 0.500
0.675 0.175 0.500
0.825 0.675 0.500
0.114 0.614 0.000
0.386 0.114 0.000
0.614 0.886 0.000
0.886 0.386 0.000
```

Results
The space-group type is No. 127. As for the size of the total moment: 4.758 μB per formula unit. For the density of states at the Fermi level, the calculation gives 8.04 states/eV/cell. As for the formation enthalpy at 0 K: -0.113 eV/atom.



Entry 7:
Computed, not measured: a relaxed K2SiAu crystal at the PBE level of DFT.

Structure (POSCAR):
```
K2SiAu
1.0
-2.235 2.235 5.277
2.235 -2.235 5.277
2.235 2.235 -5.277
K Si Au
2 1 1
direct
0.250 0.750 0.500
0.750 0.250 0.500
0.000 0.000 0.000
0.500 0.500 0.000
```

Results
The space-group type is No. 139. As for the size of the total moment: 0.000 μB per formula unit. The value obtained for the uncorrected formation energy is 272.6 meV/atom. For the density of states at the Fermi level, the calculation gives 3.47 states/eV/cell.



Entry 8:
Computed, not measured: a relaxed Nb2RhW2 crystal at the PBE level of DFT.

Structure (POSCAR):
```
Nb2RhW2
1.0
-2.036 2.036 5.795
2.036 -2.036 5.795
2.036 2.036 -5.795
Nb Rh W
2 1 2
direct
0.250 0.750 0.500
0.750 0.250 0.500
0.000 0.000 0.000
0.397 0.397 0.000
0.603 0.603 0.000
```

Results
The space-group type is No. 139. As for the size of the total moment: 0.000 μB per formula unit. For the density of states at the Fermi level, the calculation gives 5.38 states/eV/cell. The calculation puts the energy above the most stable polymorph in this dataset at 355 kJ/mol of formula units. As for the formation enthalpy at 0 K: 1.118 eV/atom.